Entry 1:
Entry from the Alexandria database: an optimized crystal structure of Sr6RhAu3 (PBE).

Cell lengths 7.5776, 8.3063, 13.2103 Å; angles 90.00, 122.80, 90.00 degrees
Sites, in units of the cell vectors:
1 Sr 0.0871 0.0522 0.2437
2 Sr 0.0871 0.4478 0.7437
3 Sr 0.2339 0.6899 0.0734
4 Sr 0.2339 0.8101 0.5734
5 Sr 0.3838 0.1707 0.0644
6 Sr 0.3838 0.3293 0.5644
7 Sr 0.6162 0.6707 0.4356
8 Sr 0.6162 0.8293 0.9356
9 Sr 0.7661 0.1899 0.4266
10 Sr 0.7661 0.3101 0.9266
11 Sr 0.9129 0.5522 0.2563
12 Sr 0.9129 0.9478 0.7563
13 Rh 0.0000 0.0000 0.0000
14 Rh 0.0000 0.5000 0.5000
15 Au 0.3068 0.1103 0.7572
16 Au 0.3068 0.3897 0.2572
17 Au 0.5000 0.0000 0.5000
18 Au 0.5000 0.5000 0.0000
19 Au 0.6932 0.6103 0.7428
20 Au 0.6932 0.8897 0.2428

## Properties
space group = P2_1/c
uncorrected energy = -0.1198 Ha/atom
formation energy = -0.53 eV/atom



Entry 2:
Entry from the Alexandria database: an optimized crystal structure of TiAlRu2Br (PBE).

Cell lengths 4.6182, 4.6182, 4.7943 Å; angles 90.00, 90.00, 90.00 degrees
Sites, in units of the cell vectors:
1 Ti 0.0000 0.0000 0.0000
2 Al 0.5000 0.5000 0.5000
3 Ru 0.0000 0.5000 0.0000
4 Ru 0.5000 0.0000 0.0000
5 Br 0.0000 0.0000 0.5000

## Properties
space group = P4/mmm
formation energy without anion corrections = 89.9 kJ/mol of atoms
uncorrected energy = -0.1999 Ha/atom



Entry 3:
Entry from the Alexandria database: an optimized crystal structure of CrAg2Cl (PBE).

Cell lengths 4.8055, 4.8055, 4.8055 Å; angles 60.00, 60.00, 60.00 degrees
Sites, in units of the cell vectors:
1 Cr 0.0000 0.0000 0.0000
2 Ag 0.2500 0.2500 0.2500
3 Ag 0.7500 0.7500 0.7500
4 Cl 0.5000 0.5000 0.5000

## Properties
excess energy over the best structure of this formula in the dataset = 0.469 eV per atom
space group = Fm-3m
formation energy without anion corrections = 51.3 kJ/mol of atoms
uncorrected energy = -0.1382 Ha/atom



Entry 4:
Entry from the Alexandria database: an optimized crystal structure of CsBa2Sr2 (PBE).

Cell lengths 12.5130, 12.5130, 4.4773 Å; angles 90.00, 90.00, 90.00 degrees
Sites, in units of the cell vectors:
1 Cs 0.0000 0.0000 0.0000
2 Cs 0.5000 0.5000 0.0000
3 Ba 0.1188 0.3812 0.0000
4 Ba 0.3812 0.8812 0.0000
5 Ba 0.6188 0.1188 0.0000
6 Ba 0.8812 0.6188 0.0000
7 Sr 0.1721 0.6721 0.5000
8 Sr 0.3279 0.1721 0.5000
9 Sr 0.6721 0.8279 0.5000
10 Sr 0.8279 0.3279 0.5000

## Properties
excess energy over the best structure of this formula in the dataset = 0.000 eV per atom
space group = P4/mbm
uncorrected energy = -0.0542 Ha/atom
formation energy = 0.14 eV/atom